No. 1
Sr2ThH8: relaxed, PBE-GGA.

Output
Its size of the total moment is 0.000 μB/f.u. As for the space group: C2/m (12). As for the electronic total energy: -3.8910 eV per atom.

Cell: 3.9768 3.9772 9.1617 Å, 102.59 102.53 90.00°
Closest atoms and distances in Å follow each position.
Sites, in units of the cell vectors:
H: 0.4326 0.4323 0.8652  3 H 2.30-2.35, 2 Th 2.31
H: 0.5674 0.5677 0.1348  3 H 2.30-2.35, 2 Th 2.31
H: 0.6338 0.1346 0.2676  4 H 2.30, 1 Th 2.33
H: 0.0674 0.0654 0.1348  3 H 2.30-2.35, 2 Th 2.31
H: 0.9326 0.9346 0.8652  3 H 2.30-2.35, 2 Th 2.31
H: 0.7500 0.7501 0.5000  4 Sr 2.42
H: 0.2500 0.2499 0.5000  4 Sr 2.42
H: 0.3662 0.8654 0.7324  4 H 2.30, 1 Th 2.33
Th: 0.5000 0.0000 0.0000  10 H 2.31-2.33
Sr: 0.8289 0.3293 0.6578  8 H 2.42-2.69
Sr: 0.1711 0.6707 0.3422  8 H 2.42-2.69



No. 2
SrTiH2: relaxed, PBE-GGA.

Output
Its size of the total moment is 3.260 μB/f.u. As for the space group: Fm-3m (225). As for the electronic total energy: -3.5598 eV per atom.

Cell: 4.4352 4.4352 4.4352 Å, 60.00 60.00 60.00°
Closest atoms and distances in Å follow each position.
Sites, in units of the cell vectors:
H: 0.2500 0.2500 0.2500  4 Sr 2.72, 4 Ti 2.72
H: 0.7500 0.7500 0.7500  4 Ti 2.72, 4 Sr 2.72
Ti: 0.0000 0.0000 0.0000  8 H 2.72
Sr: 0.5000 0.5000 0.5000  8 H 2.72



No. 3
Sr2TiH: relaxed, PBE-GGA.

Output
Its size of the total moment is 3.255 μB/f.u. As for the space group: I-42d (122). As for the electronic total energy: -3.2092 eV per atom.

Cell: 7.5912 7.5912 6.7845 Å, 55.98 55.98 90.00°
Closest atoms and distances in Å follow each position.
Sites, in units of the cell vectors:
Ti: 0.0000 0.0000 0.0000  8 Sr 3.51-3.79
Ti: 0.7500 0.2500 0.5000  8 Sr 3.51-3.79
Sr: 0.2392 0.6250 0.2500  2 H 2.40
Sr: 0.5108 0.1250 0.2500  2 H 2.40
Sr: 0.3750 0.4892 0.7500  2 H 2.40
Sr: 0.8750 0.7608 0.7500  2 H 2.40
H: 0.5000 0.5000 0.0000  4 Sr 2.40
H: 0.2500 0.7500 0.5000  4 Sr 2.40



No. 4
SrTi2H: relaxed, PBE-GGA.

Output
Its size of the total moment is 1.339 μB/f.u. As for the space group: Fm-3m (225). As for the electronic total energy: -3.7026 eV per atom.

Cell: 4.8219 4.8219 4.8219 Å, 60.00 60.00 60.00°
Closest atoms and distances in Å follow each position.
Sites, in units of the cell vectors:
H: 0.0000 0.0000 0.0000  8 Ti 2.95
Ti: 0.2500 0.2500 0.2500  4 H 2.95, 4 Sr 2.95
Ti: 0.7500 0.7500 0.7500  4 H 2.95, 4 Sr 2.95
Sr: 0.5000 0.5000 0.5000  8 Ti 2.95



No. 5
Sr2TiH: relaxed, PBE-GGA.

Output
Its size of the total moment is 3.850 μB/f.u. As for the space group: Fm-3m (225). As for the electronic total energy: -2.7887 eV per atom.

Cell: 5.6258 5.6258 5.6258 Å, 60.00 60.00 60.00°
Closest atoms and distances in Å follow each position.
Sites, in units of the cell vectors:
H: 0.0000 0.0000 0.0000  8 Sr 3.45
Sr: 0.7500 0.7500 0.7500  4 H 3.45, 4 Ti 3.45
Sr: 0.2500 0.2500 0.2500  4 H 3.45, 4 Ti 3.45
Ti: 0.5000 0.5000 0.5000  8 Sr 3.45



No. 6
SrTiH2: relaxed, PBE-GGA.

Output
Its size of the total moment is 1.162 μB/f.u. As for the space group: I-42d (122). As for the electronic total energy: -4.1099 eV per atom.

Cell: 5.4464 5.4464 5.6287 Å, 61.07 61.07 90.00°
Closest atoms and distances in Å follow each position.
Sites, in units of the cell vectors:
Sr: 0.0000 0.0000 0.0000  4 H 2.54
Sr: 0.7500 0.2500 0.5000  4 H 2.54
Ti: 0.2500 0.7500 0.5000  4 H 1.90
Ti: 0.5000 0.5000 0.0000  4 H 1.90
H: 0.2198 0.6250 0.2500  2 Ti 1.90
H: 0.5302 0.1250 0.2500  2 Ti 1.90
H: 0.8750 0.7802 0.7500  2 Ti 1.90
H: 0.3750 0.4698 0.7500  2 Ti 1.90



No. 7
SrTi2H: relaxed, PBE-GGA.

Output
Its size of the total moment is 3.897 μB/f.u. As for the space group: Fd-3m (227). As for the electronic total energy: -4.9910 eV per atom.

Cell: 6.1788 6.1788 6.1806 Å, 60.01 60.01 90.00°
Closest atoms and distances in Å follow each position.
Sites, in units of the cell vectors:
Ti: 0.3751 0.1250 0.2500  2 H 1.89
Ti: 0.3750 0.6249 0.7500  2 H 1.89
Ti: 0.8750 0.6251 0.7500  2 H 1.89
Ti: 0.3749 0.6250 0.2500  2 H 1.89
Sr: 0.7500 0.2500 0.5000  12 Ti 3.62, 4 Sr 3.78, 4 H 3.78
Sr: 0.0000 0.0000 0.0000  12 Ti 3.62, 4 Sr 3.78, 4 H 3.78
H: 0.5000 0.5000 0.0000  4 Ti 1.89
H: 0.2500 0.7500 0.5000  4 Ti 1.89



No. 8
Sr2TiH4: relaxed, PBE-GGA.

Output
Its size of the total moment is 0.000 μB/f.u. As for the space group: I4/mmm (139). As for the electronic total energy: -3.8327 eV per atom.

Cell: 3.7206 3.7206 8.6401 Å, 77.57 77.57 90.00°
Closest atoms and distances in Å follow each position.
Sites, in units of the cell vectors:
H: 0.0000 0.5000 0.0000  2 Ti 1.86
H: 0.8842 0.8842 0.2316  1 Ti 1.91
H: 0.1158 0.1158 0.7684  1 Ti 1.91
H: 0.5000 0.0000 0.0000  2 Ti 1.86
Sr: 0.6335 0.6335 0.7330  8 H 2.65-2.88
Sr: 0.3665 0.3665 0.2670  8 H 2.65-2.88
Ti: 0.0000 0.0000 0.0000  6 H 1.86-1.91



No. 9
SrTiH: relaxed, PBE-GGA.

Output
Its size of the total moment is 0.245 μB/f.u. As for the space group: Amm2 (38). As for the electronic total energy: -3.9458 eV per atom.

Cell: 3.3333 3.3355 11.5906 Å, 90.00 90.00 119.98°
Closest atoms and distances in Å follow each position.
Sites, in units of the cell vectors:
Ti: 0.6104 0.2208 0.6095  3 H 2.31, 1 Ti 2.54
Ti: 0.6104 0.2208 0.3905  3 H 2.31, 1 Ti 2.54
H: 0.2771 0.5541 0.5000  6 Ti 2.31
H: 0.6119 0.2238 0.0000  6 Sr 2.62
Sr: 0.2784 0.5569 0.1533  3 H 2.62
Sr: 0.2784 0.5569 0.8467  3 H 2.62



No. 10
SrTi2TlH: relaxed, PBE-GGA.

Output
Its size of the total moment is 1.646 μB/f.u. As for the space group: P4/mmm (123). As for the electronic total energy: -4.4164 eV per atom.

Cell: 4.4878 4.7634 4.4878 Å, 90.00 90.00 90.00°
Closest atoms and distances in Å follow each position.
Sites, in units of the cell vectors:
H: 0.0000 0.0000 0.0000  4 Ti 2.24, 2 Sr 2.38
Sr: 0.0000 0.5000 0.0000  2 H 2.38
Ti: 0.5000 0.0000 0.0000  2 H 2.24
Ti: 0.0000 0.0000 0.5000  2 H 2.24
Tl: 0.5000 0.5000 0.5000  4 Sr 3.17, 8 Ti 3.27



No. 11
SrTl2H: relaxed, PBE-GGA.

Output
Its size of the total moment is 0.000 μB/f.u. As for the space group: Fm-3m (225). As for the electronic total energy: -2.1023 eV per atom.

Cell: 5.3974 5.3974 5.3974 Å, 60.00 60.00 60.00°
Closest atoms and distances in Å follow each position.
Sites, in units of the cell vectors:
Sr: 0.5000 0.5000 0.5000  8 Tl 3.31
Tl: 0.7500 0.7500 0.7500  4 H 3.31, 4 Sr 3.31
Tl: 0.2500 0.2500 0.2500  4 H 3.31, 4 Sr 3.31
H: 0.0000 0.0000 0.0000  8 Tl 3.31